Material: CaHo2SiN4
Method: DFT, PBE
State: relaxed

## Properties
Space group   Cmcm (63)
ρ   6.8 g cm⁻³
Formation energy without anion corrections   -1361 meV per atom

Lattice parameters (Å, degrees): 6.046 6.046 11.573 90.00 90.00 148.22
Positions (direct):
1 Ca 0.098 0.902 0.750
2 Ca 0.902 0.098 0.250
3 Ho 0.369 0.631 0.539
4 Ho 0.369 0.631 0.961
5 Ho 0.631 0.369 0.039
6 Ho 0.631 0.369 0.461
7 Si 0.179 0.821 0.250
8 Si 0.821 0.179 0.750
9 N 0.000 0.000 0.000
10 N 0.000 0.000 0.500
11 N 0.262 0.738 0.127
12 N 0.262 0.738 0.373
13 N 0.406 0.594 0.750
14 N 0.594 0.406 0.250
15 N 0.738 0.262 0.627
16 N 0.738 0.262 0.873